Material: V2O3F3
Method: DFT, PBE+U
State: relaxed

Cell: 5.102 5.405 5.461 Å, 117.19 94.38 109.88°
Space group P1 (No. 1)
Inequivalent atoms, fractional coordinates:
V (0.000, 0.000, 0.000) (multiplicity 1)
V (0.414, 0.500, 0.731) (multiplicity 1)
O (0.237, 0.851, 0.936) (multiplicity 1)
O (0.488, 0.207, 0.592) (multiplicity 1)
O (0.674, 0.768, 0.677) (multiplicity 1)
F (0.097, 0.338, 0.403) (multiplicity 1)
F (0.145, 0.337, 0.925) (multiplicity 1)
F (0.708, 0.742, 0.108) (multiplicity 1)

Computed properties:
Energy ... -6.561 eV per atom
DOS(E_F) ... 0.00 states/eV/cell
Calculated volume ... 121 Å³ per cell
ΔE to the lowest computed polymorph ... 97 meV/atom
Total magnetic moment ... 1.00 μB/f.u.